Record 1
The following is a DFT calculation (GGA-PBE) of a geometry-optimized Cr2Ni3Pt2 structure.

a = 2.6942 Å, b = 9.1109 Å, c = 6.2917 Å
α = 39.75°, β = 102.34°, γ = 89.97°
Positions (direct):
Cr 0.6475 0.6558 0.2960
Cr 0.3525 0.3442 0.7040
Ni 0.0000 0.0000 0.0000
Ni 0.6659 0.3739 0.3281
Ni 0.3341 0.6261 0.6719
Pt 0.9002 0.8015 0.8002
Pt 0.0998 0.1985 0.1998

Properties
The value obtained for the volume is 93 Å³ per cell. As for the uncorrected energy: -6.86 eV per atom. The calculation puts the energy relative to the elements at 2.23 kcal/mol of atoms. As for the symmetry: P-1. For the total magnetic moment, the calculation gives 0.00 μB/cell.

---

Record 2
The following is a DFT calculation (GGA-PBE) of a geometry-optimized Cr2Ni4Pt structure.

a = 4.5103 Å, b = 4.5103 Å, c = 6.7791 Å
α = 70.57°, β = 70.57°, γ = 90.00°
Last column: magnetic moment on the atom in μB.
Positions (direct):
Ni 0.2042 0.2042 0.5916  -0.23
Ni 0.7958 0.7958 0.4084  -0.23
Ni 0.0000 0.5000 0.0000  -0.29
Ni 0.5000 0.0000 0.0000  -0.29
Pt 0.0000 0.0000 0.0000  -0.17
Cr 0.3891 0.3891 0.2217  3.03
Cr 0.6109 0.6109 0.7783  3.03

Properties
The value obtained for the volume is 122 Å³ per cell. As for the uncorrected energy: -5.75 eV per atom. The calculation puts the energy relative to the elements at 26.80 kcal/mol of atoms. As for the symmetry: I4/mmm. For the total magnetic moment, the calculation gives 5.48 μB/cell.

---

Record 3
The following is a DFT calculation (GGA-PBE) of a geometry-optimized CrNi2Pt8 structure.

a = 4.5360 Å, b = 6.7087 Å, c = 6.7087 Å
α = 63.32°, β = 78.29°, γ = 78.29°
Last column: magnetic moment on the atom in μB.
Positions (direct):
Cr 0.0000 0.0000 0.0000  1.62
Ni 0.5155 0.8870 0.8870  -0.52
Ni 0.4845 0.1130 0.1130  -0.52
Pt 0.2037 0.3721 0.7713  -0.13
Pt 0.7963 0.2287 0.6279  -0.13
Pt 0.0771 0.7803 0.7803  -0.12
Pt 0.9229 0.2197 0.2197  -0.12
Pt 0.2037 0.7713 0.3721  -0.13
Pt 0.7963 0.6279 0.2287  -0.13
Pt 0.6577 0.6473 0.6473  -0.12
Pt 0.3423 0.3527 0.3527  -0.12

Properties
The value obtained for the volume is 177 Å³ per cell. As for the uncorrected energy: -6.12 eV per atom. The calculation puts the energy relative to the elements at 4.57 kcal/mol of atoms. As for the symmetry: C2/m. The calculation puts the energy above the lowest structure with this stoichiometry at 324 meV per atom. For the total magnetic moment, the calculation gives 0.31 μB/cell.

---

Record 4
The following is a DFT calculation (GGA-PBE) of a geometry-optimized CrNiPt3 structure.

a = 4.5418 Å, b = 4.5418 Å, c = 4.5418 Å
α = 90.00°, β = 90.00°, γ = 90.00°
Positions (direct):
Ni 0.5000 0.5000 0.5000
Pt 0.0000 0.5000 0.0000
Pt 0.0000 0.0000 0.5000
Pt 0.5000 0.0000 0.0000
Cr 0.0000 0.0000 0.0000

Properties
The value obtained for the volume is 94 Å³ per cell. As for the uncorrected energy: -5.56 eV per atom. The calculation puts the energy relative to the elements at 26.38 kcal/mol of atoms. As for the symmetry: Pm-3m. The calculation puts the energy above the lowest structure with this stoichiometry at 1360 meV per atom. For the total magnetic moment, the calculation gives 0.00 μB/cell.

---

Record 5
The following is a DFT calculation (GGA-PBE) of a geometry-optimized CrNi5Pt6 structure.

a = 3.8520 Å, b = 7.3181 Å, c = 7.0863 Å
α = 121.09°, β = 105.77°, γ = 90.00°
Last column: magnetic moment on the atom in μB.
Positions (direct):
Cr 0.0000 0.0000 0.0000  2.07
Pt 0.8331 0.5848 0.6662  0.16
Pt 0.8331 0.0815 0.6662  0.16
Pt 0.5000 0.7528 0.0000  0.13
Pt 0.5000 0.2472 0.0000  0.13
Pt 0.1669 0.9185 0.3338  0.16
Pt 0.1669 0.4152 0.3338  0.16
Ni 0.6659 0.1659 0.3317  0.50
Ni 0.3360 0.3360 0.6719  0.59
Ni 0.0000 0.5000 0.0000  0.51
Ni 0.6640 0.6640 0.3281  0.59
Ni 0.3341 0.8341 0.6683  0.50

Properties
The value obtained for the volume is 162 Å³ per cell. As for the uncorrected energy: -6.37 eV per atom. The calculation puts the energy relative to the elements at -3.25 kcal/mol of atoms. As for the symmetry: Immm. For the total magnetic moment, the calculation gives 5.63 μB/cell.

---

Record 6
The following is a DFT calculation (GGA-PBE) of a geometry-optimized CrNiPt2 structure.

a = 2.7619 Å, b = 3.6648 Å, c = 5.4517 Å
α = 90.00°, β = 90.00°, γ = 90.00°
Last column: magnetic moment on the atom in μB.
Positions (direct):
Ni 0.5000 0.5000 0.7500  -0.44
Pt 0.0000 0.0000 0.9986  -0.05
Pt 0.0000 0.0000 0.5014  -0.05
Cr 0.5000 0.5000 0.2500  2.26

Properties
The value obtained for the volume is 55 Å³ per cell. As for the uncorrected energy: -7.07 eV per atom. The calculation puts the energy relative to the elements at -4.65 kcal/mol of atoms. As for the symmetry: Pmmm. For the total magnetic moment, the calculation gives 1.87 μB/cell.

---

Record 7
The following is a DFT calculation (GGA-PBE) of a geometry-optimized CrNi3Pt12 structure.

a = 3.8868 Å, b = 3.8868 Å, c = 15.6044 Å
α = 90.00°, β = 90.00°, γ = 90.00°
Last column: magnetic moment on the atom in μB.
Positions (direct):
Cr 0.0000 0.0000 0.0000  2.58
Ni 0.0000 0.0000 0.2525  0.59
Ni 0.0000 0.0000 0.5000  0.75
Ni 0.0000 0.0000 0.7475  0.59
Pt 0.5000 0.5000 0.0000  0.06
Pt 0.5000 0.5000 0.2508  0.16
Pt 0.5000 0.5000 0.5000  0.14
Pt 0.5000 0.5000 0.7492  0.16
Pt 0.5000 0.0000 0.1253  0.04
Pt 0.5000 0.0000 0.3757  0.15
Pt 0.5000 0.0000 0.6243  0.15
Pt 0.5000 0.0000 0.8747  0.04
Pt 0.0000 0.5000 0.1253  0.04
Pt 0.0000 0.5000 0.3757  0.15
Pt 0.0000 0.5000 0.6243  0.15
Pt 0.0000 0.5000 0.8747  0.04

Properties
The value obtained for the volume is 236 Å³ per cell. As for the uncorrected energy: -6.34 eV per atom. The calculation puts the energy relative to the elements at -2.81 kcal/mol of atoms. As for the symmetry: P4/mmm. For the total magnetic moment, the calculation gives 5.86 μB/cell.

---

Record 8
The following is a DFT calculation (GGA-PBE) of a geometry-optimized CrNi6Pt structure.

a = 4.7964 Å, b = 4.7964 Å, c = 4.7964 Å
α = 82.09°, β = 82.09°, γ = 82.09°
Last column: magnetic moment on the atom in μB.
Positions (direct):
Cr 0.0000 0.0000 0.0000  1.94
Ni 0.1529 0.5343 0.1529  0.09
Ni 0.1529 0.1529 0.5343  0.09
Ni 0.8471 0.4657 0.8471  0.09
Ni 0.4657 0.8471 0.8471  0.09
Ni 0.8471 0.8471 0.4657  0.09
Ni 0.5343 0.1529 0.1529  0.09
Pt 0.5000 0.5000 0.5000  0.02

Properties
The value obtained for the volume is 107 Å³ per cell. As for the uncorrected energy: -5.72 eV per atom. The calculation puts the energy relative to the elements at 13.22 kcal/mol of atoms. As for the symmetry: R-3m. The calculation puts the energy above the lowest structure with this stoichiometry at 602 meV per atom. For the total magnetic moment, the calculation gives 2.60 μB/cell.

---

- The lowest volume belongs to which entry?
  CrNiPt2

---

- The highest uncorrected energy belongs to which entry?
  CrNiPt3

---

- What is the total magnetic moment in the second record?
  5.48 μB/cell